Li2NbSnN | GGA-PBE | optimized geometry

The formation energy without anion corrections comes out at -0.46 eV per atom.

The space group is P4/mmm (No. 123) and the conventional cell measures 4.145, 4.145 and 4.180 Å, with angles of 90.00, 90.00 and 90.00 degrees. The asymmetric unit holds Li at (0.000, 0.500, 0.000), Nb at (0.000, 0.000, 0.500), Sn at (0.500, 0.500, 0.500) and N at (0.000, 0.000, 0.000).

=====

In7As | GGA-PBE | optimized geometry

The value obtained for the energy relative to the elements is 0.068 eV/atom.

The space group is Fm-3m (No. 225) and the conventional cell measures 9.452, 9.452 and 9.452 Å, with angles of 90.00, 90.00 and 90.00 degrees. The asymmetric unit holds In at (0.000, 0.000, 0.000), In at (0.000, 0.250, 0.250) and As at (0.000, 0.000, 0.500).

=====

BeCu3Se | GGA-PBE | optimized geometry

The formation energy without anion corrections comes out at 0.49 eV per atom.

The space group is Pm-3m (No. 221) and the conventional cell measures 4.155, 4.155 and 4.155 Å, with angles of 90.00, 90.00 and 90.00 degrees. The asymmetric unit holds Be at (0.000, 0.000, 0.000), Cu at (0.000, 0.000, 0.500) and Se at (0.500, 0.500, 0.500).

=====

NiPtRh | GGA-PBE | optimized geometry

The value obtained for the energy relative to the elements is -0.014 eV/atom.

The space group is Imm2 (No. 44) and the conventional cell measures 2.714, 3.769 and 8.118 Å, with angles of 90.00, 90.00 and 90.00 degrees. The asymmetric unit holds Ni at (0.000, 0.000, 0.000), Pt at (0.000, 0.000, 0.666) and Rh at (0.000, 0.000, 0.340).

=====

YSnCl2 | GGA-PBE | optimized geometry

The formation energy without anion corrections comes out at -1.22 eV per atom.

The space group is R-3m (No. 166, hexagonal axes) and the conventional cell measures 3.5300, 3.5300 and 30.8416 Å, with angles of 90.00, 90.00 and 120.00 degrees. The asymmetric unit holds Y at (0.0000, 0.0000, 0.0000), Sn at (0.0000, 0.0000, 0.5000) and Cl at (0.0000, 0.0000, 0.3921).

=====

BeTe2Ir | GGA-PBE | optimized geometry

The formation energy without anion corrections comes out at 0.09 eV per atom.

The space group is I-42d (No. 122) and the conventional cell measures 5.779, 5.779 and 11.615 Å, with angles of 90.00, 90.00 and 90.00 degrees. The asymmetric unit holds Be at (0.000, 0.000, 0.000), Te at (0.230, 0.250, 0.125) and Ir at (0.000, 0.000, 0.500).

=====

Number 1: total magnetic moment 0.00 μB per formula unit, N(E_F) 0.49 states/eV/atom. Number 2: total magnetic moment 0.00 μB per formula unit, N(E_F) 0.85 states/eV/atom. Number 3: total magnetic moment 0.00 μB per formula unit, N(E_F) 0.54 states/eV/atom. Number 4: total magnetic moment 1.80 μB per formula unit, N(E_F) 1.65 states/eV/atom. Number 5: total magnetic moment 0.00 μB per formula unit, N(E_F) 0.50 states/eV/atom. Number 6: total magnetic moment 0.00 μB per formula unit, N(E_F) 0.60 states/eV/atom.